1.
# Na3Cl2O2

A geometry-optimized Na3Cl2O2 structure (PBE, Alexandria).

Summary:
- Magnetization: 1.000 μB per cell
- Space-group type: Immm

Unit cell a=4.449 b=3.861 c=8.494 alpha=103.14 beta=105.18 gamma=90.00
Last column: magnetic moment on the atom in μB.
Fractional positions:
O 0.500 0.823 0.000  0.41
O 0.500 0.177 0.000  0.41
Cl 0.832 0.832 0.664  0.00
Cl 0.168 0.168 0.336  0.00
Na 0.345 0.345 0.690  0.00
Na 0.655 0.655 0.310  0.00
Na 0.000 0.000 0.000  0.00

2.
# Na7Cl3O2

A geometry-optimized Na7Cl3O2 structure (PBE, Alexandria).

Summary:
- Energy relative to the lowest polymorph listed for this composition: 0.040 eV/atom
- Magnetization: 0.144 μB per cell
- Space-group type: Cmmm

Unit cell a=4.409 b=4.517 c=12.379 alpha=100.51 beta=90.00 gamma=90.00
Last column: magnetic moment on the atom in μB.
Fractional positions:
Na 0.000 0.594 0.187  0.00
Na 0.000 0.000 0.000  0.00
Na 0.500 0.094 0.189  0.00
Na 0.000 0.406 0.813  0.00
Na 0.000 0.187 0.373  0.00
Na 0.500 0.906 0.811  0.00
Na 0.000 0.813 0.627  0.00
Cl 0.500 0.500 0.000  0.00
Cl 0.500 0.684 0.368  0.00
Cl 0.500 0.316 0.632  0.00
O 0.000 0.906 0.812  0.06
O 0.000 0.094 0.188  0.06

The evaluated V for the records listed, in turn: 137 242 Å³/cell.
The evaluated uncorrected formation energy for the records listed, in turn: -9.1 -17.5 eV/f.u..